{"formula": "Ta5Au", "functional": "PBE-GGA", "state": "relaxed", "volume_a3_per_cell": 109.8, "de_polymorph_mev_per_atom": 150, "e_form_ev_per_fu": 0.80, "cell": [[5.6244, -1.3930, 0.0000], [5.6244, 1.3930, 0.0000], [-1.6811, 0.0000, 7.0067]], "species": ["Ta", "Ta", "Ta", "Ta", "Ta", "Au"], "fractional_positions": [[0.0000, 0.0000, 0.0000], [0.0694, 0.0694, 0.6372], [0.3346, 0.3346, 0.6589], [0.4045, 0.4045, 0.3051], [0.7401, 0.7401, 0.9686], [0.6709, 0.6709, 0.3366]]}